Record 1
CuNiIr2: single point on PBEsol structure, SCAN.

Summary:
* ΔE to the lowest computed polymorph: 0.23 kcal/mol of atoms
* energy of formation from the pure elements: 0.039 eV per atom
* SG: No. 119
* magnetic moment: 0.000 μB per atom
* crystal system: tetragonal

abc: 3.6735 3.6735 7.4254
angles: 90.00 90.00 90.00
Last column: nearest neighbours and their distance in Å.
Fractional positions:
Cu (0.0000, 0.0000, 0.0000)  8 Ir 2.60-2.61, 4 Ni 2.61
Cu (0.5000, 0.5000, 0.5000)  8 Ir 2.60-2.61, 4 Ni 2.61
Ni (0.0000, 0.5000, 0.7500)  8 Ir 2.60-2.61, 4 Cu 2.61
Ni (0.5000, 0.0000, 0.2500)  8 Ir 2.60-2.61, 4 Cu 2.61
Ir (0.0000, 0.0000, 0.5000)  4 Cu 2.60, 4 Ni 2.61, 4 Ir 2.61
Ir (0.0000, 0.5000, 0.2500)  4 Ni 2.60, 4 Cu 2.61, 4 Ir 2.61
Ir (0.5000, 0.0000, 0.7500)  4 Ni 2.60, 4 Ir 2.61, 4 Cu 2.61
Ir (0.5000, 0.5000, 0.0000)  4 Cu 2.60, 4 Ni 2.61, 4 Ir 2.61

---

Record 2
CuNiIr2: single point on PBEsol structure, SCAN.

Summary:
* ΔE to the lowest computed polymorph: 0.49 kcal/mol of atoms
* energy of formation from the pure elements: 0.051 eV per atom
* SG: No. 25
* magnetic moment: 0.000 μB per atom
* crystal system: orthorhombic

abc: 2.6655 3.7055 5.1255
angles: 90.00 90.00 90.00
Last column: nearest neighbours and their distance in Å.
Fractional positions:
Cu (0.0000, 0.0000, 0.0000)  6 Ir 2.51-2.66, 4 Ni 2.57, 2 Cu 2.67
Ni (0.5000, 0.5000, 0.7680)  6 Ir 2.55-2.64, 4 Cu 2.57, 2 Ni 2.67
Ir (0.0000, 0.0000, 0.5097)  2 Cu 2.51-2.61, 6 Ir 2.60-2.67, 4 Ni 2.64
Ir (0.5000, 0.5000, 0.2652)  2 Ni 2.55-2.58, 6 Ir 2.60-2.67, 4 Cu 2.66